Entry 1:
The following is a GGA+U calculation of an optimized crystal structure of ZnSiNiO5, from the Alexandria database.

a b c (Å): 5.4269 5.4269 6.9300
angles (deg): 71.62 71.62 96.62
Last column: magnetic moment on the atom in μB.
Positions (direct):
1 O 0.8009 0.8233 0.8507  -0.10
2 O 0.4252 0.5748 0.7500  0.02
3 O 0.1767 0.1991 0.6493  -0.10
4 O 0.1991 0.1767 0.1493  -0.10
5 O 0.7179 0.2487 0.5611  -0.09
6 O 0.5748 0.4252 0.2500  0.02
7 O 0.7513 0.2821 0.9389  -0.09
8 O 0.2487 0.7179 0.0611  -0.09
9 O 0.8233 0.8009 0.3507  -0.10
10 O 0.2821 0.7513 0.4389  -0.09
11 Ni 0.5000 0.5000 0.5000  1.06
12 Ni 0.5000 0.5000 0.0000  1.06
13 Zn 0.1872 0.8128 0.7500  -0.04
14 Zn 0.8128 0.1872 0.2500  -0.04
15 Si 0.1540 0.8460 0.2500  0.01
16 Si 0.8460 0.1540 0.7500  0.01

Calculated total energy ... -5.70 eV per atom

Entry 2:
The following is a GGA+U calculation of an optimized crystal structure of Sm2Ni2O5, from the Alexandria database.

a b c (Å): 8.5024 8.5024 8.5024
angles (deg): 142.95 140.27 55.45
Last column: magnetic moment on the atom in μB.
Positions (direct):
1 Sm 0.1349 0.6168 0.5333  0.00
2 Sm 0.8651 0.3984 0.4820  0.00
3 Sm 0.4165 0.8984 0.5333  0.00
4 Sm 0.5835 0.1168 0.4820  0.00
5 O 0.2402 0.7325 0.0161  0.07
6 O 0.8505 0.1561 0.5066  0.06
7 O 0.4518 0.3000 0.0327  0.07
8 O 0.7836 0.2758 0.0161  0.07
9 O 0.7598 0.7758 0.4922  0.07
10 O 0.5482 0.5809 0.8482  0.07
11 O 0.2327 0.0809 0.0327  0.07
12 O 0.2164 0.2325 0.4922  0.07
13 O 0.7673 0.8000 0.8482  0.07
14 O 0.1495 0.6561 0.3056  0.06
15 Ni 0.0000 0.9925 0.9925  1.77
16 Ni 0.5000 0.4925 0.9925  1.77
17 Ni 0.8102 0.7830 0.0933  1.78
18 Ni 0.1898 0.2830 0.9728  1.78

Calculated total energy ... -6.62 eV per atom

Entry 3:
The following is a GGA+U calculation of an optimized crystal structure of SmNi2O4, from the Alexandria database.

a b c (Å): 5.9412 5.9412 5.9401
angles (deg): 109.18 109.18 110.07
Last column: magnetic moment on the atom in μB.
Positions (direct):
1 Ni 0.6249 0.8750 0.2499  1.67
2 Ni 0.6251 0.3750 0.7501  1.67
3 Ni 0.1250 0.3749 0.7499  1.67
4 Ni 0.6250 0.3751 0.2501  1.67
5 O 0.4057 0.0859 0.3202  -0.08
6 O 0.4843 0.6644 0.8201  -0.08
7 O 0.7657 0.0855 0.6798  -0.08
8 O 0.9143 0.5943 0.6799  -0.08
9 O 0.9144 0.2343 0.3201  -0.08
10 O 0.8443 0.6642 0.1799  -0.08
11 O 0.3356 0.5157 0.1798  -0.08
12 O 0.3358 0.1557 0.8202  -0.08
13 Sm 0.2500 0.7500 0.5000  0.02
14 Sm 0.0000 0.0000 0.0000  0.02

Calculated total energy ... -5.96 eV per atom

Entry 4:
The following is a GGA+U calculation of an optimized crystal structure of Sm3Ni5O12, from the Alexandria database.

a b c (Å): 10.8244 10.8244 10.8244
angles (deg): 109.47 109.47 109.47
Last column: magnetic moment on the atom in μB.
Positions (direct):
1 Ni 0.3750 0.2500 0.1250  1.99
2 Ni 0.0000 0.0000 0.5000  1.57
3 Ni 0.5000 0.0000 0.0000  1.57
4 Ni 0.2500 0.8750 0.1250  1.99
5 Ni 0.0000 0.5000 0.5000  1.57
6 Ni 0.8750 0.6250 0.7500  1.99
7 Ni 0.6250 0.7500 0.8750  1.99
8 Ni 0.7500 0.6250 0.3750  1.99
9 Ni 0.5000 0.0000 0.5000  1.57
10 Ni 0.3750 0.1250 0.7500  1.99
11 Ni 0.0000 0.0000 0.0000  1.57
12 Ni 0.2500 0.3750 0.6250  1.99
13 Ni 0.1250 0.7500 0.3750  1.99
14 Ni 0.5000 0.5000 0.5000  1.57
15 Ni 0.7500 0.1250 0.8750  1.99
16 Ni 0.5000 0.5000 0.0000  1.57
17 Ni 0.6250 0.8750 0.2500  1.99
18 Ni 0.1250 0.3750 0.2500  1.99
19 Ni 0.8750 0.2500 0.6250  1.99
20 Ni 0.0000 0.5000 0.0000  1.57
21 Sm 0.6250 0.2500 0.3750  0.02
22 Sm 0.6250 0.3750 0.7500  0.02
23 Sm 0.8750 0.7500 0.1250  0.02
24 Sm 0.7500 0.8750 0.6250  0.02
25 Sm 0.2500 0.6250 0.8750  0.02
26 Sm 0.3750 0.7500 0.6250  0.02
27 Sm 0.2500 0.1250 0.3750  0.02
28 Sm 0.8750 0.1250 0.2500  0.02
29 Sm 0.3750 0.6250 0.2500  0.02
30 Sm 0.1250 0.2500 0.8750  0.02
31 Sm 0.7500 0.3750 0.1250  0.02
32 Sm 0.1250 0.8750 0.7500  0.02
33 O 0.5830 0.7057 0.6797  0.12
34 O 0.1227 0.7057 0.5260  0.12
35 O 0.5260 0.2057 0.1227  0.12
36 O 0.9740 0.5967 0.1797  0.12
37 O 0.5967 0.9740 0.6797  0.12
38 O 0.3773 0.4033 0.0830  0.12
39 O 0.4170 0.2943 0.3203  0.12
40 O 0.4170 0.1227 0.5967  0.12
41 O 0.8203 0.9033 0.0260  0.12
42 O 0.6797 0.4740 0.5967  0.12
43 O 0.0830 0.1797 0.2057  0.12
44 O 0.5830 0.8773 0.4033  0.12
45 O 0.1797 0.0830 0.7057  0.12
46 O 0.7943 0.4740 0.3773  0.12
47 O 0.6797 0.2057 0.5830  0.12
48 O 0.2943 0.4170 0.8203  0.12
49 O 0.6227 0.5967 0.9170  0.12
50 O 0.8773 0.2943 0.4740  0.12
51 O 0.3203 0.7943 0.4170  0.12
52 O 0.9033 0.8203 0.5260  0.12
53 O 0.4033 0.0260 0.3203  0.12
54 O 0.9170 0.8203 0.7943  0.12
55 O 0.4740 0.6797 0.0967  0.12
56 O 0.3773 0.9740 0.7943  0.12
57 O 0.0260 0.6227 0.7057  0.12
58 O 0.9170 0.0967 0.6227  0.12
59 O 0.2057 0.6797 0.0830  0.12
60 O 0.1227 0.4170 0.0967  0.12
61 O 0.0260 0.4033 0.8203  0.12
62 O 0.2943 0.8773 0.9740  0.12
63 O 0.9033 0.0830 0.8773  0.12
64 O 0.0830 0.9033 0.3773  0.12
65 O 0.7057 0.5830 0.1797  0.12
66 O 0.8203 0.9170 0.2943  0.12
67 O 0.7057 0.1227 0.0260  0.12
68 O 0.5260 0.3203 0.9033  0.12
69 O 0.4033 0.3773 0.5830  0.12
70 O 0.8773 0.5830 0.9033  0.12
71 O 0.0967 0.1797 0.4740  0.12
72 O 0.3203 0.5260 0.4033  0.12
73 O 0.9740 0.3773 0.2943  0.12
74 O 0.5967 0.6227 0.4170  0.12
75 O 0.6227 0.0260 0.2057  0.12
76 O 0.4740 0.7943 0.8773  0.12
77 O 0.0967 0.9170 0.1227  0.12
78 O 0.7943 0.3203 0.9170  0.12
79 O 0.2057 0.5260 0.6227  0.12
80 O 0.1797 0.0967 0.9740  0.12

Calculated total energy ... -6.01 eV per atom

Entry 5:
The following is a GGA+U calculation of an optimized crystal structure of Sm2NiSnO6, from the Alexandria database.

a b c (Å): 5.5036 5.7972 7.9539
angles (deg): 90.00 89.13 90.00
Last column: magnetic moment on the atom in μB.
Positions (direct):
1 Sn 0.0000 0.5000 0.0000  0.03
2 Sn 0.5000 0.0000 0.5000  0.03
3 O 0.3071 0.7003 0.4380  0.03
4 O 0.6952 0.3050 0.9417  0.03
5 O 0.1952 0.1950 0.4417  0.03
6 O 0.8832 0.5439 0.2490  0.03
7 O 0.3048 0.6950 0.0583  0.03
8 O 0.8071 0.7997 0.9380  0.03
9 O 0.8048 0.8050 0.5583  0.03
10 O 0.1168 0.4561 0.7510  0.03
11 O 0.6929 0.2997 0.5620  0.03
12 O 0.6168 0.0439 0.2510  0.03
13 O 0.1929 0.2003 0.0620  0.03
14 O 0.3832 0.9561 0.7490  0.03
15 Sm 0.0208 0.9351 0.2513  0.00
16 Sm 0.5208 0.5649 0.7513  0.00
17 Sm 0.9792 0.0649 0.7487  0.00
18 Sm 0.4792 0.4351 0.2487  0.00
19 Ni 0.5000 0.0000 0.0000  1.77
20 Ni 0.0000 0.5000 0.5000  1.77

Calculated total energy ... -7.03 eV per atom

Entry 6:
The following is a GGA+U calculation of an optimized crystal structure of SrSm3Ni2O8, from the Alexandria database.

a b c (Å): 6.7558 6.7558 5.3687
angles (deg): 90.00 90.00 133.45
Last column: magnetic moment on the atom in μB.
Positions (direct):
1 Sm 0.8609 0.1391 0.5000  0.01
2 Sm 0.3635 0.6365 0.0000  0.01
3 Sm 0.1367 0.8633 0.5000  0.01
4 O 0.1777 0.8223 0.0000  0.02
5 O 0.8361 0.1639 0.0000  0.01
6 O 0.2443 0.2553 0.2607  -0.03
7 O 0.3187 0.6813 0.5000  0.05
8 O 0.7447 0.7557 0.2607  -0.03
9 O 0.2443 0.2553 0.7393  -0.03
10 O 0.6769 0.3231 0.5000  0.07
11 O 0.7447 0.7557 0.7393  -0.03
12 Ni 0.0037 0.9963 0.0000  1.63
13 Ni 0.5037 0.4963 0.5000  1.32
14 Sr 0.6440 0.3560 0.0000  0.00

Calculated total energy ... -6.83 eV per atom

Entry 7:
The following is a GGA+U calculation of an optimized crystal structure of SmNiTe2O8, from the Alexandria database.

a b c (Å): 6.1477 6.1477 6.1477
angles (deg): 108.00 108.00 112.46
Last column: magnetic moment on the atom in μB.
Positions (direct):
1 O 0.3595 0.0571 0.3024  -0.07
2 O 0.9429 0.2454 0.3024  -0.07
3 O 0.4966 0.6829 0.8137  0.00
4 O 0.3171 0.5034 0.1863  0.00
5 O 0.7546 0.0571 0.6976  -0.07
6 O 0.3171 0.1308 0.8137  0.00
7 O 0.9429 0.6405 0.6976  -0.07
8 O 0.8692 0.6829 0.1863  0.00
9 Sm 0.2500 0.7500 0.5000  0.00
10 Te 0.7500 0.2500 0.5000  -0.06
11 Te 0.5000 0.5000 0.0000  -0.01
12 Ni 0.0000 0.0000 0.0000  1.77

Calculated total energy ... -5.72 eV per atom

Entry 8:
The following is a GGA+U calculation of an optimized crystal structure of SmNi2TeO6, from the Alexandria database.

a b c (Å): 5.4695 5.4697 5.7103
angles (deg): 61.38 61.38 59.99
Last column: magnetic moment on the atom in μB.
Positions (direct):
1 O 0.1588 0.3695 0.7607  0.12
2 O 0.3695 0.7110 0.7606  0.12
3 O 0.7112 0.1588 0.7606  0.12
4 O 0.9053 0.6244 0.2309  0.24
5 O 0.2395 0.9052 0.2308  0.24
6 O 0.6243 0.2394 0.2309  0.24
7 Ni 0.0138 0.0139 0.9585  1.78
8 Ni 0.5236 0.5236 0.4293  1.79
9 Sm 0.7988 0.7990 0.6033  0.02
10 Te 0.3168 0.3168 0.0495  0.17

Calculated total energy ... -5.87 eV per atom

Entry 9:
The following is a GGA+U calculation of an optimized crystal structure of Sm2TlNiO6, from the Alexandria database.

a b c (Å): 5.5595 5.7577 8.3401
angles (deg): 90.00 85.16 90.00
Last column: magnetic moment on the atom in μB.
Positions (direct):
1 Ni 0.5000 0.0000 0.0000  1.22
2 Ni 0.0000 0.5000 0.5000  1.22
3 Sm 0.9714 0.0666 0.7391  0.00
4 Sm 0.0286 0.9334 0.2609  0.00
5 Sm 0.4714 0.4334 0.2391  0.00
6 Sm 0.5286 0.5666 0.7609  0.00
7 O 0.6747 0.2814 0.9347  -0.05
8 O 0.6323 0.0504 0.2462  0.01
9 O 0.8677 0.5504 0.2538  0.01
10 O 0.7725 0.8160 0.9236  -0.06
11 O 0.2725 0.6840 0.4236  -0.06
12 O 0.2275 0.1840 0.0764  -0.06
13 O 0.7275 0.3160 0.5764  -0.06
14 O 0.8253 0.7814 0.5653  -0.05
15 O 0.1747 0.2186 0.4347  -0.05
16 O 0.3253 0.7186 0.0653  -0.05
17 O 0.1323 0.4496 0.7462  0.01
18 O 0.3677 0.9496 0.7538  0.01
19 Tl 0.5000 0.0000 0.5000  0.01
20 Tl 0.0000 0.5000 0.0000  0.01

Calculated total energy ... -6.44 eV per atom

Entry 10:
The following is a GGA+U calculation of an optimized crystal structure of Sm2UNiO8, from the Alexandria database.

a b c (Å): 4.1422 5.3424 7.5871
angles (deg): 80.86 93.69 97.19
Last column: magnetic moment on the atom in μB.
Positions (direct):
1 U 0.0000 0.0000 0.0000  0.01
2 O 0.9372 0.1672 0.2665  -0.24
3 O 0.4304 0.2273 0.0221  -0.05
4 O 0.9250 0.2972 0.8111  -0.04
5 O 0.6721 0.7485 0.4749  -0.16
6 O 0.5696 0.7727 0.9779  -0.05
7 O 0.3279 0.2515 0.5251  -0.16
8 O 0.0750 0.7028 0.1889  -0.04
9 O 0.0628 0.8328 0.7335  -0.24
10 Sm 0.5459 0.4706 0.2594  0.01
11 Sm 0.4541 0.5294 0.7406  0.01
12 Ni 0.0000 0.0000 0.5000  1.08

Calculated total energy ... -7.77 eV per atom

Entry 11:
The following is a GGA+U calculation of an optimized crystal structure of Sm2VNiO6, from the Alexandria database.

a b c (Å): 5.4139 5.7170 7.6318
angles (deg): 90.00 89.34 90.00
Last column: magnetic moment on the atom in μB.
Positions (direct):
1 O 0.3088 0.7074 0.4447  0.03
2 O 0.0998 0.4709 0.7610  0.00
3 O 0.1912 0.2074 0.0553  0.03
4 O 0.5998 0.0291 0.2610  0.00
5 O 0.2032 0.1937 0.4499  0.03
6 O 0.7032 0.3063 0.9499  0.03
7 O 0.7968 0.8063 0.5501  0.03
8 O 0.9002 0.5291 0.2390  0.00
9 O 0.2968 0.6937 0.0501  0.03
10 O 0.6912 0.2926 0.5553  0.03
11 O 0.8088 0.7926 0.9447  0.03
12 O 0.4002 0.9709 0.7390  0.00
13 Sm 0.0205 0.9338 0.2513  0.00
14 Sm 0.5205 0.5662 0.7513  0.00
15 Sm 0.4795 0.4338 0.2487  0.00
16 Sm 0.9795 0.0662 0.7487  0.00
17 V 0.0000 0.5000 0.0000  1.06
18 V 0.5000 0.0000 0.5000  1.06
19 Ni 0.5000 0.0000 0.0000  1.76
20 Ni 0.0000 0.5000 0.5000  1.76

Calculated total energy ... -7.53 eV per atom

Entry 12:
The following is a GGA+U calculation of an optimized crystal structure of SmV2NiO8, from the Alexandria database.

a b c (Å): 5.7814 5.7814 5.9669
angles (deg): 90.00 90.00 120.00
Last column: magnetic moment on the atom in μB.
Positions (direct):
1 O 0.1626 0.3252 0.7199  -0.07
2 O 0.6667 0.3333 0.6437  -0.18
3 O 0.3252 0.1626 0.2801  -0.07
4 O 0.3333 0.6667 0.3563  -0.18
5 O 0.8374 0.1626 0.2801  -0.07
6 O 0.1626 0.8374 0.7199  -0.07
7 O 0.6748 0.8374 0.7199  -0.07
8 O 0.8374 0.6748 0.2801  -0.07
9 V 0.3333 0.6667 0.6327  0.11
10 V 0.6667 0.3333 0.3673  0.11
11 Sm 0.0000 0.0000 0.0000  0.00
12 Ni 0.0000 0.0000 0.5000  1.65

Calculated total energy ... -7.03 eV per atom